Here is a geometry-optimized SrCeHgGe structure from Alexandria. Energies are from GGA-PBE.

Results
**Space group**: No. 216
**DFT total energy**: -3.573 eV/atom

Structure (POSCAR):
```
SrCeHgGe
1.0
0.000 3.830 3.830
3.830 0.000 3.830
3.830 3.830 0.000
Sr Ce Hg Ge
1 1 1 1
Direct
0.000 0.000 0.000 Sr
0.500 0.500 0.500 Ce
0.750 0.750 0.750 Hg
0.250 0.250 0.250 Ge
```